(1)
Compound: PHPdN
Source: the Alexandria database
Functional: PBE
Structure: optimized geometry

As for the total energy: -44.1 eV per cell.

The space group is Cm (No. 8) and the conventional cell measures 10.094, 2.796 and 3.371 Å, with angles of 90.00, 106.96 and 90.00 degrees. The distinct sites, in fractional coordinates, are P at (0.000, 0.000, 0.000), H at (0.194, 0.500, 0.378), Pd at (0.174, 0.000, 0.643) and N at (0.401, 0.000, 0.930).


(2)
Compound: AlAsP2
Source: the Alexandria database
Functional: PBE
Structure: optimized geometry

As for the total energy: -19.5 eV per cell.

The space group is P2/m (No. 10) and the conventional cell measures 4.445, 3.628 and 4.643 Å, with angles of 90.00, 107.22 and 90.00 degrees. The distinct sites, in fractional coordinates, are Al at (0.000, 0.000, 0.000), As at (0.500, 0.000, 0.500) and P at (0.291, 0.500, 0.802).


(3)
Compound: TiRePbO6
Source: the Alexandria database
Functional: PBE
Structure: optimized geometry

The value obtained for the uncorrected formation energy is -1.85 eV/atom.

The space group is Imma (No. 74) and the conventional cell measures 7.209, 7.228 and 10.572 Å, with angles of 90.00, 90.00 and 90.00 degrees. The distinct sites, in fractional coordinates, are Ti at (0.250, 0.250, 0.250), Re at (0.000, 0.000, 0.000), Pb at (0.000, 0.250, 0.520), O at (0.000, 0.250, 0.308), O at (0.000, 0.250, 0.940) and O at (0.190, 0.065, 0.117).


(4)
Compound: LiTb4Cd3
Source: the Alexandria database
Functional: PBE
Structure: optimized geometry

As for the total energy: -49.9 eV per cell.

The space group is I4/mmm (No. 139) and the conventional cell measures 5.314, 5.314 and 14.889 Å, with angles of 90.00, 90.00 and 90.00 degrees. The distinct sites, in fractional coordinates, are Li at (0.000, 0.000, 0.000), Tb at (0.000, 0.500, 0.124), Cd at (0.000, 0.000, 0.248) and Cd at (0.000, 0.000, 0.500).


(5)
Compound: Pm5Sm2ErTm
Source: the Alexandria database
Functional: PBE
Structure: optimized geometry

As for the total energy: -158.6 eV per cell.

The space group is I4/mcm (No. 140) and the conventional cell measures 8.552, 8.552 and 16.636 Å, with angles of 90.00, 90.00 and 90.00 degrees. The distinct sites, in fractional coordinates, are Pm at (0.000, 0.000, 0.000), Pm at (0.216, 0.284, 0.143), Sm at (0.122, 0.378, 0.500), Er at (0.000, 0.500, 0.250) and Tm at (0.000, 0.000, 0.250).


(6)
Compound: AcSi2Os3
Source: the Alexandria database
Functional: PBE
Structure: optimized geometry

The value obtained for the uncorrected formation energy is -0.40 eV/atom.

The space group is C2/m (No. 12) and the conventional cell measures 15.894, 4.058 and 7.578 Å, with angles of 90.00, 115.99 and 90.00 degrees. The distinct sites, in fractional coordinates, are Ac at (0.150, 0.000, 0.060), Si at (0.024, 0.500, 0.190), Si at (0.185, 0.000, 0.663), Os at (0.038, 0.000, 0.378), Os at (0.086, 0.500, 0.651) and Os at (0.190, 0.500, 0.453).


(7)
Compound: LaGdMnGa
Source: the Alexandria database
Functional: PBE
Structure: optimized geometry

As for the total energy: -127.0 eV per cell.

The space group is F-43m (No. 216) and the conventional cell measures 7.351, 7.351 and 7.351 Å, with angles of 90.00, 90.00 and 90.00 degrees. The distinct sites, in fractional coordinates, are La at (0.000, 0.000, 0.000), Gd at (0.000, 0.000, 0.500), Mn at (0.250, 0.250, 0.250) and Ga at (0.250, 0.250, 0.750).


What did we get for M_tot? Answer: 0.0 0.0 0.4 0.0 0.0 0.0 3.8 μB per formula unit, in the order shown.